Here is a relaxed CrOsO2F crystal from the Alexandria database. Energies are from GGA+U.

Magnetic moment   5.121 μB/cell
E_tot   -6.15 eV per atom
DOS at the Fermi energy   3.1 states/eV/cell
Symmetry   P4/mmm

Cell: 3.9294 3.9294 3.8384 Å, 90.00 90.00 90.00°
Fractional positions:
Cr (0.0000, 0.0000, 0.0000)
Os (0.5000, 0.5000, 0.5000)
O (0.0000, 0.5000, 0.0000)
O (0.5000, 0.0000, 0.0000)
F (0.0000, 0.0000, 0.5000)